1.
Compound: AgC2
Source: the Alexandria database
Functional: PBE-GGA
Structure: optimized geometry

Cell: 6.368 6.368 6.368 Å, 147.44 147.44 46.71°
Element x y z (fractional)
C 0.194 0.694 0.500
C 0.556 0.556 0.000
C 0.444 0.444 0.000
C 0.306 0.806 0.500
Ag 0.000 0.000 0.000
Ag 0.750 0.250 0.500

Computed properties:
**DOS at the Fermi energy**: 1.46 states/eV/f.u.
**Energy above the lowest structure with this stoichiometry**: 5.12 eV per formula unit
**Formation energy from the elements**: 2.04 eV per atom

=====

2.
Compound: LiP2Au
Source: the Alexandria database
Functional: PBE-GGA
Structure: optimized geometry

Cell: 4.795 4.795 2.882 Å, 90.00 90.00 106.94°
Element x y z (fractional)
Li 0.000 0.500 0.500
Au 0.500 0.000 0.500
P 0.500 0.500 0.000
P 0.000 0.000 0.000

Computed properties:
**DOS at the Fermi energy**: 1.34 states/eV/f.u.
**Energy above the lowest structure with this stoichiometry**: 1.80 eV per formula unit
**Formation energy from the elements**: 0.10 eV per atom

=====

3.
Compound: NdMgSnRh
Source: the Alexandria database
Functional: PBE-GGA
Structure: optimized geometry

Cell: 4.896 4.896 4.896 Å, 60.00 60.00 60.00°
Element x y z (fractional)
Sn 0.250 0.250 0.250
Mg 0.000 0.000 0.000
Nd 0.750 0.750 0.750
Rh 0.500 0.500 0.500

Computed properties:
**DOS at the Fermi energy**: 0.66 states/eV/f.u.
**Formation energy from the elements**: -0.53 eV per atom

=====

4.
Compound: ZnTePtO6
Source: the Alexandria database
Functional: PBE-GGA
Structure: optimized geometry

Cell: 5.207 5.207 9.070 Å, 90.00 90.00 120.00°
Element x y z (fractional)
O 0.653 0.645 0.132
O 0.355 0.347 0.368
O 0.653 0.008 0.368
O 0.645 0.992 0.868
O 0.008 0.653 0.868
O 0.008 0.355 0.632
O 0.992 0.645 0.368
O 0.355 0.008 0.132
O 0.992 0.347 0.132
O 0.645 0.653 0.632
O 0.347 0.355 0.868
O 0.347 0.992 0.632
Zn 0.000 0.000 0.000
Zn 0.000 0.000 0.500
Te 0.333 0.667 0.750
Te 0.667 0.333 0.250
Pt 0.667 0.333 0.750
Pt 0.333 0.667 0.250

Computed properties:
**Formation energy without anion corrections**: -892 meV/atom

=====

5.
Compound: PaAg2GeO6
Source: the Alexandria database
Functional: PBE-GGA
Structure: optimized geometry

Cell: 5.579 5.579 5.727 Å, 60.85 60.85 60.00°
Element x y z (fractional)
O 0.546 0.173 0.287
O 0.459 0.639 0.816
O 0.993 0.546 0.287
O 0.086 0.459 0.816
O 0.173 0.993 0.287
O 0.639 0.086 0.816
Ag 0.566 0.566 0.301
Ag 0.066 0.066 0.803
Ge 0.316 0.316 0.051
Pa 0.816 0.816 0.552

Computed properties:
**DOS at the Fermi energy**: 9.67 states/eV/f.u.
**Formation energy without anion corrections**: -1659 meV/atom

=====

6.
Compound: Pr3GaSe2
Source: the Alexandria database
Functional: PBE-GGA
Structure: optimized geometry

Cell: 4.212 6.073 7.561 Å, 113.68 106.17 90.00°
Element x y z (fractional)
Se 0.167 0.667 0.334
Se 0.833 0.333 0.666
Pr 0.832 0.832 0.664
Pr 0.168 0.168 0.336
Pr 0.500 0.500 0.000
Ga 0.500 0.000 0.000

Computed properties:
**DOS at the Fermi energy**: 1.19 states/eV/f.u.
**Formation energy without anion corrections**: -1456 meV/atom

=====

no.,theoretical density (Mg/m³)
1,5.88
2,6.97
3,7.81
4,7.55
5,8.01
6,6.40